A plane-wave DFT calculation with PBE+U was carried out for a relaxed CsSnMoF2 crystal.

Output
magnetic moment	5.5	μB/f.u.
raw total energy	-0.1311	hartree per atom
space group	P4/mmm
volume	177.4	Å³/cell

Lattice parameters (Å, degrees): 4.853 4.853 7.534 90.00 90.00 90.00
Fractional positions:
Cs (0.000, 0.000, 0.000)
Sn (0.000, 0.000, 0.500)
Mo (0.500, 0.500, 0.000)
F (0.000, 0.500, 0.500)
F (0.500, 0.000, 0.500)